{"formula": "PmHgPd", "functional": "GGA-PBE", "state": "relaxed", "formation_energy_kj_per_mol_atoms": -55, "de_polymorph_ev_per_atom": 0.103, "crystal_system": "cubic", "vol_a3_per_cell": 77.5, "total_magnetization_mub_per_cell": 0.00, "sg": "No. 216", "dos_ef_per_ev_atom": 0.62, "lattice_angstrom": [[0.000, 3.384, 3.384], [3.384, 0.000, 3.384], [3.384, 3.384, 0.000]], "species": ["Pm", "Hg", "Pd"], "fractional_positions": [[0.000, 0.000, 0.000], [0.500, 0.500, 0.500], [0.250, 0.250, 0.250]]}